Entry 1:
Density functional theory data (PBE) for an optimized crystal structure of AsAu2C.

Output
- formation energy from the elements (meV per atom) = 972
- calculated density (g/cm3) = 10.637
- total DFT energy (no corrections) (eV per atom) = -4.1347
- distance to the lowest polymorph of the same formula (eV/f.u.) = 0.00

Cell lengths 7.1195, 7.1195, 7.1195 Å; angles 139.61, 139.61, 58.45 degrees
Last column: nearest neighbours and their distance in Å.
Fractional positions:
As 0.0000 0.0000 0.0000  4 Au 2.62
As 0.7500 0.2500 0.5000  4 Au 2.62
Au 0.2238 0.6250 0.0988  2 C 2.12
Au 0.3750 0.4738 0.5988  2 C 2.12
Au 0.5262 0.1250 0.9012  2 C 2.12
Au 0.8750 0.7762 0.4012  2 C 2.12
C 0.2500 0.7500 0.5000  4 Au 2.12
C 0.5000 0.5000 0.0000  4 Au 2.12


Entry 2:
Density functional theory data (PBE) for an optimized crystal structure of Ba2ZrSb.

Output
- calculated density (g/cm3) = 4.989
- total DFT energy (no corrections) (eV per atom) = -4.3262
- formation energy without anion corrections (kJ/mol of formula units) = -76

Cell lengths 4.8114, 7.1176, 7.1176 Å; angles 41.75, 90.00, 90.00 degrees
Last column: nearest neighbours and their distance in Å.
Fractional positions:
Ba 0.0000 0.0000 0.0000  4 Zr 3.69, 3 Sb 3.79-3.84
Ba 0.5000 0.2930 0.2930  4 Sb 3.66, 3 Zr 3.72-3.93
Zr 0.5000 0.5888 0.5888  2 Sb 2.91
Sb 0.0000 0.7113 0.7113  2 Zr 2.91


Entry 3:
Density functional theory data (PBE) for an optimized crystal structure of Rb6HgBr8.

Output
- calculated density (g/cm3) = 3.747
- total DFT energy (no corrections) (eV per atom) = -2.7552
- formation energy without anion corrections (kJ/mol of formula units) = -2107

Cell lengths 8.9203, 8.9203, 8.9203 Å; angles 69.29, 69.29, 69.29 degrees
Last column: nearest neighbours and their distance in Å.
Fractional positions:
Rb 0.0200 0.4418 0.8002  7 Br 3.45-3.82
Rb 0.1998 0.9800 0.5582  7 Br 3.45-3.82
Rb 0.4418 0.8002 0.0200  7 Br 3.45-3.82
Rb 0.5582 0.1998 0.9800  7 Br 3.45-3.82
Rb 0.8002 0.0200 0.4418  7 Br 3.45-3.82
Rb 0.9800 0.5582 0.1998  7 Br 3.45-3.82
Hg 0.5000 0.5000 0.5000  6 Br 2.91
Br 0.1557 0.1557 0.1557  6 Rb 3.48-3.58
Br 0.1885 0.6579 0.4056  1 Hg 2.91
Br 0.3421 0.5944 0.8115  1 Hg 2.91
Br 0.4056 0.1885 0.6579  1 Hg 2.91
Br 0.5944 0.8115 0.3421  1 Hg 2.91
Br 0.6579 0.4056 0.1885  1 Hg 2.91
Br 0.8115 0.3421 0.5944  1 Hg 2.91
Br 0.8443 0.8443 0.8443  6 Rb 3.48-3.58


Entry 4:
Density functional theory data (PBE) for an optimized crystal structure of NiHN.

Output
- calculated density (g/cm3) = 4.723
- total DFT energy (no corrections) (eV per atom) = -5.6512
- distance to the lowest polymorph of the same formula (eV/f.u.) = 0.33

Cell lengths 2.7070, 2.7073, 3.5363 Å; angles 90.14, 90.77, 90.41 degrees
Last column: nearest neighbours and their distance in Å.
Fractional positions:
Ni 0.0000 0.0000 0.0000  4 N 1.89-2.01
H 0.4987 0.4924 0.6089  1 N 1.04
N 0.5134 0.4843 0.9021  1 H 1.04


Entry 5:
Density functional theory data (PBE) for an optimized crystal structure of Li2PmPt.

Output
- formation energy from the elements (meV per atom) = 14
- calculated density (g/cm3) = 7.274
- total DFT energy (no corrections) (eV per atom) = -3.6412
- distance to the lowest polymorph of the same formula (eV/f.u.) = 2.51

Cell lengths 10.5257, 10.5257, 10.5257 Å; angles 16.37, 16.37, 16.37 degrees
Last column: nearest neighbours and their distance in Å.
Fractional positions:
Li 0.1030 0.1030 0.1030  3 Pt 2.63
Li 0.8970 0.8970 0.8970  3 Pt 2.63
Pm 0.0000 0.0000 0.0000  6 Pm 3.00, 2 Li 3.21
Pt 0.5000 0.5000 0.5000  6 Li 2.63


Entry 6:
Density functional theory data (PBE) for an optimized crystal structure of CdTc2Ag.

Output
- formation energy from the elements (meV per atom) = 557
- calculated density (g/cm3) = 10.437
- total DFT energy (no corrections) (eV per atom) = -5.5676

Cell lengths 3.7787, 3.7787, 4.6383 Å; angles 90.00, 90.00, 90.00 degrees
Last column: nearest neighbours and their distance in Å.
Fractional positions:
Cd 0.0000 0.0000 0.0000  4 Ag 2.67, 8 Tc 2.99
Tc 0.0000 0.5000 0.5000  4 Tc 2.67, 4 Cd 2.99, 4 Ag 2.99
Tc 0.5000 0.0000 0.5000  4 Tc 2.67, 4 Cd 2.99, 4 Ag 2.99
Ag 0.5000 0.5000 0.0000  4 Cd 2.67, 8 Tc 2.99


So what do the calculations give for total moment? Going down the list: 0.00, 2.04, 0.00, 0.00, 0.19, 0.00 μB/cell.